[1]
Here is an optimized crystal structure of AgHgOsAu2 from Alexandria. Energies are from GGA-PBE.

```
AgHgOsAu2
1.0
5.020 0.000 0.000
0.000 5.020 0.000
0.000 0.000 5.218
Ag Hg Os Au
1 1 1 2
Direct
0.000 0.000 0.000
0.500 0.500 0.000
0.000 0.000 0.500
0.000 0.500 0.500
0.500 0.000 0.500
```

Calculated values
- calculated formation energy (eV/atom) = 1.1968
- total DFT energy (no corrections) (eV per atom) = -2.991
- volume (Å³ per cell) = 131
- space-group type = P4/mmm (123)

***

[2]
Here is an optimized crystal structure of RuPbBr4 from Alexandria. Energies are from GGA-PBE.

```
RuPbBr4
1.0
0.000 4.418 4.418
4.418 0.000 4.418
4.418 4.418 0.000
Ru Pb Br
1 1 4
Direct
0.000 0.000 0.000
0.250 0.250 0.250
0.121 0.626 0.626
0.626 0.121 0.626
0.626 0.626 0.121
0.626 0.626 0.626
```

Calculated values
- total DFT energy (no corrections) (eV per atom) = -2.317
- formation energy without anion corrections (eV per atom) = 0.9619
- volume (Å³ per cell) = 172
- space-group type = F-43m (216)

***

[3]
Here is an optimized crystal structure of CaZn2B2O6 from Alexandria. Energies are from GGA-PBE.

```
CaZn2B2O6
1.0
5.122 0.000 0.000
-2.561 4.436 0.000
0.000 0.000 6.356
Ca Zn B O
1 2 2 6
Direct
0.000 0.000 0.000
0.333 0.667 0.267
0.667 0.333 0.733
0.333 0.667 0.768
0.667 0.333 0.232
0.064 0.669 0.771
0.331 0.395 0.771
0.395 0.064 0.229
0.605 0.936 0.771
0.669 0.605 0.229
0.936 0.331 0.229
```

Calculated values
- total DFT energy (no corrections) (eV per atom) = -6.503
- formation energy without anion corrections (eV per atom) = -2.1705
- volume (Å³ per cell) = 144
- space-group type = P-3 (147)

***

[4]
Here is an optimized crystal structure of LuHfMn4 from Alexandria. Energies are from GGA-PBE.

```
LuHfMn4
1.0
0.000 3.520 3.520
3.520 0.000 3.520
3.520 3.520 0.000
Lu Hf Mn
1 1 4
Direct
0.000 0.000 0.000
0.250 0.250 0.250
0.126 0.625 0.625
0.625 0.126 0.625
0.625 0.625 0.126
0.625 0.625 0.625
```

Calculated values
- calculated formation energy (eV/atom) = -0.1066
- total DFT energy (no corrections) (eV per atom) = -8.632
- volume (Å³ per cell) = 87
- space-group type = F-43m (216)

***

[5]
Here is an optimized crystal structure of ReW from Alexandria. Energies are from GGA-PBE.

```
ReW
1.0
4.024 0.000 0.000
-2.012 3.485 0.000
0.000 0.000 5.184
Re W
2 2
Direct
0.000 0.000 0.000
0.000 0.000 0.500
0.333 0.667 0.250
0.667 0.333 0.750
```

Calculated values
- calculated formation energy (eV/atom) = 0.8170
- total DFT energy (no corrections) (eV per atom) = -11.884
- volume (Å³ per cell) = 73
- space-group type = P6_3/mmc (194)

***

[6]
Here is an optimized crystal structure of Be3B2Mo2 from Alexandria. Energies are from GGA-PBE.

```
Be3B2Mo2
1.0
4.055 -1.574 0.000
4.055 1.574 0.000
-1.061 0.000 5.176
Be B Mo
3 2 2
Direct
0.000 0.000 0.000
0.315 0.315 0.144
0.685 0.685 0.856
0.084 0.084 0.641
0.916 0.916 0.359
0.374 0.374 0.669
0.626 0.626 0.331
```

Calculated values
- calculated formation energy (eV/atom) = -0.3526
- total DFT energy (no corrections) (eV per atom) = -6.952
- volume (Å³ per cell) = 66
- space-group type = C2/m (12)

***

[7]
Here is an optimized crystal structure of UCdNi2As2 from Alexandria. Energies are from GGA-PBE.

```
UCdNi2As2
1.0
4.059 0.000 0.000
-2.029 3.515 0.000
0.000 0.000 7.376
U Cd Ni As
1 1 2 2
Direct
0.000 0.000 0.000
0.000 0.000 0.500
0.333 0.667 0.719
0.667 0.333 0.281
0.333 0.667 0.233
0.667 0.333 0.767
```

Calculated values
- calculated formation energy (eV/atom) = -0.3585
- total DFT energy (no corrections) (eV per atom) = -5.869
- volume (Å³ per cell) = 105
- space-group type = P-3m1 (164)

***

[8]
Here is an optimized crystal structure of CsThP2 from Alexandria. Energies are from GGA-PBE.

```
CsThP2
1.0
2.180 1.258 8.227
-2.180 1.258 8.227
0.000 -2.517 8.227
Cs Th P
1 1 2
Direct
0.000 0.000 0.000
0.500 0.500 0.500
0.225 0.225 0.225
0.775 0.775 0.775
```

Calculated values
- calculated formation energy (eV/atom) = -0.7267
- total DFT energy (no corrections) (eV per atom) = -5.500
- volume (Å³ per cell) = 135
- space-group type = R-3m (166)

***

[9]
Here is an optimized crystal structure of BeVSb2I from Alexandria. Energies are from GGA-PBE.

```
BeVSb2I
1.0
5.033 0.000 0.000
0.000 5.033 0.000
0.000 0.000 5.828
Be V Sb I
1 1 2 1
Direct
0.000 0.000 0.000
0.500 0.500 0.500
0.000 0.500 0.500
0.500 0.000 0.500
0.500 0.500 0.000
```

Calculated values
- total DFT energy (no corrections) (eV per atom) = -3.702
- formation energy without anion corrections (eV per atom) = 0.8255
- volume (Å³ per cell) = 148
- space-group type = P4/mmm (123)

***

[10]
Here is an optimized crystal structure of Cs3Pu2PaTe6 from Alexandria. Energies are from GGA-PBE.

```
Cs3Pu2PaTe6
1.0
3.998 -6.925 0.000
3.998 6.925 0.000
-2.665 0.000 8.934
Cs Pu Pa Te
3 2 1 6
Direct
0.000 0.000 0.000
0.331 0.669 0.000
0.669 0.331 0.000
0.166 0.834 0.500
0.834 0.166 0.500
0.500 0.500 0.500
0.112 0.436 0.309
0.240 0.240 0.692
0.436 0.112 0.309
0.564 0.888 0.691
0.760 0.760 0.308
0.888 0.564 0.691
```

Calculated values
- total DFT energy (no corrections) (eV per atom) = -6.045
- formation energy without anion corrections (eV per atom) = -1.0806
- volume (Å³ per cell) = 495
- space-group type = C2/m (12)

***

[11]
Here is an optimized crystal structure of TbNdSm2 from Alexandria. Energies are from GGA-PBE.

```
TbNdSm2
1.0
4.275 0.000 0.000
0.000 4.275 0.000
0.000 0.000 7.385
Tb Nd Sm
1 1 2
Direct
0.000 0.000 0.000
0.000 0.000 0.500
0.500 0.500 0.246
0.500 0.500 0.754
```

Calculated values
- calculated formation energy (eV/atom) = 0.1188
- total DFT energy (no corrections) (eV per atom) = -4.590
- volume (Å³ per cell) = 135
- space-group type = P4/mmm (123)

***

[12]
Here is an optimized crystal structure of KCr3Cu from Alexandria. Energies are from GGA-PBE.

```
KCr3Cu
1.0
4.161 0.000 0.000
0.000 4.161 0.000
0.000 0.000 4.161
K Cr Cu
1 3 1
Direct
0.000 0.000 0.000
0.000 0.000 0.500
0.000 0.500 0.000
0.500 0.000 0.000
0.500 0.500 0.500
```

Calculated values
- calculated formation energy (eV/atom) = 2.9023
- total DFT energy (no corrections) (eV per atom) = -3.910
- volume (Å³ per cell) = 72
- space-group type = Pm-3m (221)

***

[13]
Here is an optimized crystal structure of Tb4Pr2Y2Er from Alexandria. Energies are from GGA-PBE.

```
Tb4Pr2Y2Er
1.0
9.399 -1.813 0.000
9.399 1.813 0.000
-4.174 0.000 8.676
Tb Pr Y Er
4 2 2 1
Direct
0.019 0.019 0.334
0.315 0.315 0.664
0.685 0.685 0.336
0.981 0.981 0.666
0.165 0.165 0.000
0.835 0.835 0.000
0.354 0.354 0.338
0.646 0.646 0.662
0.500 0.500 0.000
```

Calculated values
- calculated formation energy (eV/atom) = -0.0006
- total DFT energy (no corrections) (eV per atom) = -5.064
- volume (Å³ per cell) = 296
- space-group type = C2/m (12)

***

[14]
Here is an optimized crystal structure of RbBaSbS3 from Alexandria. Energies are from GGA-PBE.

```
RbBaSbS3
1.0
8.664 -2.591 0.000
8.664 2.591 0.000
-2.390 0.000 8.640
Rb Ba Sb S
2 2 2 6
Direct
0.141 0.141 0.071
0.859 0.859 0.929
0.158 0.158 0.582
0.842 0.842 0.418
0.499 0.499 0.323
0.501 0.501 0.677
0.003 0.003 0.287
0.345 0.345 0.651
0.350 0.350 0.192
0.650 0.650 0.808
0.655 0.655 0.349
0.997 0.997 0.713
```

Calculated values
- total DFT energy (no corrections) (eV per atom) = -4.277
- formation energy without anion corrections (eV per atom) = -1.0447
- volume (Å³ per cell) = 388
- space-group type = C2/m (12)

***

[15]
Here is an optimized crystal structure of TbMg2Cd10 from Alexandria. Energies are from GGA-PBE.

```
TbMg2Cd10
1.0
0.000 6.949 6.991
3.020 0.000 6.991
3.020 6.949 0.000
Tb Mg Cd
1 2 10
Direct
0.000 0.000 0.000
0.000 0.500 0.000
0.500 0.000 0.500
0.000 0.000 0.500
0.003 0.347 0.653
0.285 0.498 0.502
0.347 0.003 0.997
0.498 0.285 0.715
0.500 0.500 0.000
0.502 0.715 0.285
0.653 0.997 0.003
0.715 0.502 0.498
0.997 0.653 0.347
```

Calculated values
- calculated formation energy (eV/atom) = -0.1180
- total DFT energy (no corrections) (eV per atom) = -1.423
- volume (Å³ per cell) = 293
- space-group type = Fmmm (69)

***

[16]
Here is an optimized crystal structure of SmPaO2 from Alexandria. Energies are from GGA-PBE.

```
SmPaO2
1.0
3.090 0.000 0.000
0.000 3.090 0.000
0.000 0.000 6.164
Sm Pa O
1 1 2
Direct
0.000 0.000 0.000
0.000 0.000 0.500
0.500 0.500 0.261
0.500 0.500 0.739
```

Calculated values
- total DFT energy (no corrections) (eV per atom) = -7.833
- formation energy without anion corrections (eV per atom) = -1.7997
- volume (Å³ per cell) = 59
- space-group type = P4/mmm (123)

***

[17]
Here is an optimized crystal structure of La3Pr4Nd5 from Alexandria. Energies are from GGA-PBE.

```
La3Pr4Nd5
1.0
6.424 0.000 0.000
-0.015 7.405 0.000
-0.010 -0.010 9.108
La Pr Nd
3 4 5
Direct
0.000 0.000 0.000
0.167 0.750 0.668
0.833 0.250 0.332
0.167 0.249 0.667
0.332 0.500 0.333
0.668 0.500 0.667
0.833 0.751 0.333
0.000 0.500 0.000
0.334 0.000 0.333
0.499 0.250 0.000
0.501 0.750 0.000
0.666 0.000 0.667
```

Calculated values
- calculated formation energy (eV/atom) = 0.0128
- total DFT energy (no corrections) (eV per atom) = -4.799
- volume (Å³ per cell) = 433
- space-group type = P-1 (2)

***

[18]
Here is an optimized crystal structure of Dy4NiPd from Alexandria. Energies are from GGA-PBE.

```
Dy4NiPd
1.0
6.838 0.000 0.000
0.000 6.838 0.000
0.000 0.000 6.326
Dy Ni Pd
8 2 2
Direct
0.174 0.313 0.000
0.174 0.687 0.500
0.313 0.174 0.500
0.313 0.826 0.000
0.687 0.174 0.000
0.687 0.826 0.500
0.826 0.313 0.500
0.826 0.687 0.000
0.000 0.000 0.250
0.000 0.000 0.750
0.500 0.500 0.250
0.500 0.500 0.750
```

Calculated values
- calculated formation energy (eV/atom) = -0.4034
- total DFT energy (no corrections) (eV per atom) = -5.300
- volume (Å³ per cell) = 296
- space-group type = P4/mcc (124)

***

[19]
Here is an optimized crystal structure of ScBi3Ir from Alexandria. Energies are from GGA-PBE.

```
ScBi3Ir
1.0
5.427 0.000 0.000
0.000 5.427 0.000
0.000 0.000 5.427
Sc Bi Ir
1 3 1
Direct
0.000 0.000 0.000
0.000 0.000 0.500
0.000 0.500 0.000
0.500 0.000 0.000
0.500 0.500 0.500
```

Calculated values
- calculated formation energy (eV/atom) = 1.0737
- total DFT energy (no corrections) (eV per atom) = -4.293
- volume (Å³ per cell) = 160
- space-group type = Pm-3m (221)

***

[20]
Here is an optimized crystal structure of Ho4GePbN from Alexandria. Energies are from GGA-PBE.

```
Ho4GePbN
1.0
3.281 -7.811 0.000
3.281 7.811 0.000
0.000 0.000 6.568
Ho Ge Pb N
8 2 2 2
Direct
0.000 0.500 0.000
0.000 0.500 0.500
0.082 0.918 0.750
0.407 0.593 0.750
0.500 0.000 0.000
0.500 0.000 0.500
0.593 0.407 0.250
0.918 0.082 0.250
0.113 0.887 0.250
0.887 0.113 0.750
0.396 0.604 0.250
0.604 0.396 0.750
0.249 0.751 0.750
0.751 0.249 0.250
```

Calculated values
- total DFT energy (no corrections) (eV per atom) = -5.898
- formation energy without anion corrections (eV per atom) = -0.9037
- volume (Å³ per cell) = 337
- space-group type = Cmcm (63)

***

[21]
Here is an optimized crystal structure of DyZnSn from Alexandria. Energies are from GGA-PBE.

```
DyZnSn
1.0
2.869 -4.090 0.000
2.869 4.090 0.000
0.000 0.000 6.186
Dy Zn Sn
2 2 2
Direct
0.163 0.837 0.750
0.837 0.163 0.250
0.500 0.500 0.000
0.500 0.500 0.500
0.211 0.789 0.250
0.789 0.211 0.750
```

Calculated values
- calculated formation energy (eV/atom) = -0.3263
- total DFT energy (no corrections) (eV per atom) = -3.619
- volume (Å³ per cell) = 145
- space-group type = Cmcm (63)

***

[22]
Here is an optimized crystal structure of NdSm5Ga2 from Alexandria. Energies are from GGA-PBE.

```
NdSm5Ga2
1.0
-2.194 4.882 5.579
2.194 -4.882 5.579
2.194 4.882 -5.579
Nd Sm Ga
1 5 2
Direct
0.000 0.000 0.000
0.149 0.348 0.801
0.452 0.652 0.801
0.500 0.000 0.500
0.548 0.348 0.199
0.851 0.652 0.199
0.218 0.718 0.500
0.782 0.282 0.500
```

Calculated values
- calculated formation energy (eV/atom) = -0.1660
- total DFT energy (no corrections) (eV per atom) = -4.468
- volume (Å³ per cell) = 239
- space-group type = Immm (71)

***

[23]
Here is an optimized crystal structure of TlIn2RePb from Alexandria. Energies are from GGA-PBE.

```
TlIn2RePb
1.0
5.579 0.000 0.000
0.000 5.579 0.000
0.000 0.000 5.305
Tl In Re Pb
1 2 1 1
Direct
0.000 0.000 0.000
0.000 0.500 0.000
0.500 0.000 0.000
0.000 0.000 0.500
0.500 0.500 0.500
```

Calculated values
- calculated formation energy (eV/atom) = 1.4131
- total DFT energy (no corrections) (eV per atom) = -3.387
- volume (Å³ per cell) = 165
- space-group type = P4/mmm (123)

***

[24]
Here is an optimized crystal structure of Pa2HPb from Alexandria. Energies are from GGA-PBE.

```
Pa2HPb
1.0
1.644 0.949 8.834
-1.644 0.949 8.834
0.000 -1.898 8.834
Pa H Pb
2 1 1
Direct
0.225 0.225 0.225
0.775 0.775 0.775
0.500 0.500 0.500
0.000 0.000 0.000
```

Calculated values
- total DFT energy (no corrections) (eV per atom) = -6.563
- volume (Å³ per cell) = 83
- space-group type = R-3m (166)

***

[25]
Here is an optimized crystal structure of TlCr2S4 from Alexandria. Energies are from GGA-PBE.

```
TlCr2S4
1.0
0.000 5.277 5.277
5.277 0.000 5.277
5.277 5.277 0.000
Tl Cr S
2 4 8
Direct
0.125 0.125 0.125
0.875 0.875 0.875
0.000 0.500 0.500
0.500 0.000 0.500
0.500 0.500 0.000
0.500 0.500 0.500
0.271 0.271 0.271
0.271 0.271 0.687
0.271 0.687 0.271
0.313 0.729 0.729
0.687 0.271 0.271
0.729 0.313 0.729
0.729 0.729 0.313
0.729 0.729 0.729
```

Calculated values
- total DFT energy (no corrections) (eV per atom) = -5.989
- formation energy without anion corrections (eV per atom) = -0.5426
- volume (Å³ per cell) = 294
- space-group type = Fd-3m (227)